Entry from Alexandria via LeMat-Bulk: a relaxed Ba2TmSnS5 crystal (GGA-PBE).

The structure in POSCAR format:
```
Ba2TmSnS5
1.0
2.167 -8.983 0.000
2.167 8.983 0.000
0.000 0.000 12.867
Ba Tm Sn S
4 2 2 10
Cartesian
2.167 6.932 6.434
2.167 6.559 1.667
2.167 -6.559 8.100
2.167 -6.932 0.000
2.167 5.158 10.802
2.167 -5.158 4.368
2.167 0.857 3.489
2.167 -0.857 9.923
2.167 7.982 11.234
2.167 3.818 6.075
2.167 3.318 2.566
2.167 2.569 10.538
2.167 0.073 7.625
2.167 -0.073 1.191
2.167 -2.569 4.104
2.167 -3.318 8.999
2.167 -3.818 12.509
2.167 -7.982 4.800
```

Properties
Energy relative to the elements, uncorrected (meV/atom): -1607
Total magnetization (μB per atom): 0.000
Symmetry: Cmc2_1 (36)
V (Å³ per cell): 500.9
VASP energy (eV/atom): -5.2685